1.
The following is a PBE calculation of LiPm2BePt6 after structural relaxation, from the Alexandria database.

- energy of formation from the pure elements (kJ per mole of atoms) = -77.15

Cell: 7.4855 7.4855 7.4855 Å, 44.24 44.24 44.24°
Element x y z (fractional)
Li (0.0000, 0.0000, 0.0000)
Pm (0.2914, 0.2914, 0.2914)
Pm (0.7086, 0.7086, 0.7086)
Be (0.5000, 0.5000, 0.5000)
Pt (0.2297, 0.7429, 0.7429)
Pt (0.2571, 0.2571, 0.7703)
Pt (0.2571, 0.7703, 0.2571)
Pt (0.7429, 0.2297, 0.7429)
Pt (0.7429, 0.7429, 0.2297)
Pt (0.7703, 0.2571, 0.2571)

---

2.
The following is a PBE calculation of LiPmBePt2 after structural relaxation, from the Alexandria database.

- energy of formation from the pure elements (kJ per mole of atoms) = -72.39

Cell: 3.9965 3.9965 10.6683 Å, 90.00 90.00 90.00°
Element x y z (fractional)
Li (0.0000, 0.0000, 0.0000)
Li (0.5000, 0.5000, 0.5000)
Pm (0.0000, 0.5000, 0.2500)
Pm (0.5000, 0.0000, 0.7500)
Be (0.0000, 0.0000, 0.5000)
Be (0.5000, 0.5000, 0.0000)
Pt (0.0000, 0.5000, 0.6222)
Pt (0.0000, 0.5000, 0.8778)
Pt (0.5000, 0.0000, 0.1222)
Pt (0.5000, 0.0000, 0.3778)

---

3.
The following is a PBE calculation of LiPm2Be3Si4 after structural relaxation, from the Alexandria database.

- energy relative to the elements, uncorrected (kJ/mol of atoms) = -37.9

Cell: 4.0211 4.0211 9.7481 Å, 90.00 90.00 90.00°
Element x y z (fractional)
Li (0.0000, 0.0000, 0.0000)
Pm (0.0000, 0.5000, 0.7446)
Pm (0.5000, 0.0000, 0.2554)
Be (0.0000, 0.5000, 0.3730)
Be (0.5000, 0.0000, 0.6270)
Be (0.5000, 0.5000, 0.0000)
Si (0.0000, 0.0000, 0.5000)
Si (0.0000, 0.5000, 0.1389)
Si (0.5000, 0.0000, 0.8611)
Si (0.5000, 0.5000, 0.5000)

---

4.
The following is a PBE calculation of LiPmSmBe after structural relaxation, from the Alexandria database.

- energy of formation from the pure elements (kJ per mole of atoms) = 15.75

Cell: 7.2165 7.2165 7.2165 Å, 90.00 90.00 90.00°
Element x y z (fractional)
Li (0.0000, 0.0000, 0.0000)
Li (0.0000, 0.5000, 0.5000)
Li (0.5000, 0.0000, 0.5000)
Li (0.5000, 0.5000, 0.0000)
Pm (0.2500, 0.2500, 0.2500)
Pm (0.2500, 0.7500, 0.7500)
Pm (0.7500, 0.2500, 0.7500)
Pm (0.7500, 0.7500, 0.2500)
Sm (0.2500, 0.2500, 0.7500)
Sm (0.2500, 0.7500, 0.2500)
Sm (0.7500, 0.2500, 0.2500)
Sm (0.7500, 0.7500, 0.7500)
Be (0.0000, 0.0000, 0.5000)
Be (0.0000, 0.5000, 0.0000)
Be (0.5000, 0.0000, 0.0000)
Be (0.5000, 0.5000, 0.5000)

---

5.
The following is a PBE calculation of LiPmBeTl after structural relaxation, from the Alexandria database.

- energy of formation from the pure elements (kJ per mole of atoms) = -4.42

Cell: 6.7481 6.7481 6.7481 Å, 90.00 90.00 90.00°
Element x y z (fractional)
Li (0.0000, 0.0000, 0.0000)
Li (0.0000, 0.5000, 0.5000)
Li (0.5000, 0.0000, 0.5000)
Li (0.5000, 0.5000, 0.0000)
Pm (0.2500, 0.2500, 0.2500)
Pm (0.2500, 0.7500, 0.7500)
Pm (0.7500, 0.2500, 0.7500)
Pm (0.7500, 0.7500, 0.2500)
Be (0.0000, 0.0000, 0.5000)
Be (0.0000, 0.5000, 0.0000)
Be (0.5000, 0.0000, 0.0000)
Be (0.5000, 0.5000, 0.5000)
Tl (0.2500, 0.2500, 0.7500)
Tl (0.2500, 0.7500, 0.2500)
Tl (0.7500, 0.2500, 0.2500)
Tl (0.7500, 0.7500, 0.7500)

---

6.
The following is a PBE calculation of LiPmBeZn after structural relaxation, from the Alexandria database.

- energy of formation from the pure elements (kJ per mole of atoms) = -2.80

Cell: 6.5097 6.5097 6.5097 Å, 90.00 90.00 90.00°
Element x y z (fractional)
Li (0.0000, 0.0000, 0.0000)
Li (0.0000, 0.5000, 0.5000)
Li (0.5000, 0.0000, 0.5000)
Li (0.5000, 0.5000, 0.0000)
Pm (0.2500, 0.2500, 0.7500)
Pm (0.2500, 0.7500, 0.2500)
Pm (0.7500, 0.2500, 0.2500)
Pm (0.7500, 0.7500, 0.7500)
Be (0.0000, 0.0000, 0.5000)
Be (0.0000, 0.5000, 0.0000)
Be (0.5000, 0.0000, 0.0000)
Be (0.5000, 0.5000, 0.5000)
Zn (0.2500, 0.2500, 0.2500)
Zn (0.2500, 0.7500, 0.7500)
Zn (0.7500, 0.2500, 0.7500)
Zn (0.7500, 0.7500, 0.2500)

---

7.
The following is a PBE calculation of LiPr2BePt6 after structural relaxation, from the Alexandria database.

- energy of formation from the pure elements (kJ per mole of atoms) = -75.05

Cell: 5.6822 5.6822 7.4819 Å, 112.24 112.24 60.02°
Element x y z (fractional)
Li (0.0000, 0.0000, 0.0000)
Pr (0.2898, 0.2898, 0.8696)
Pr (0.7102, 0.7102, 0.1304)
Be (0.5000, 0.5000, 0.5000)
Pt (0.2271, 0.7422, 0.7118)
Pt (0.2577, 0.2577, 0.2882)
Pt (0.2578, 0.7729, 0.2882)
Pt (0.7422, 0.2271, 0.7118)
Pt (0.7423, 0.7423, 0.7118)
Pt (0.7729, 0.2578, 0.2882)

---

8.
The following is a PBE calculation of LiPr2BePt2 after structural relaxation, from the Alexandria database.

- energy of formation from the pure elements (kJ per mole of atoms) = -68.90

Cell: 8.1535 8.1535 8.1535 Å, 138.03 61.66 136.99°
Element x y z (fractional)
Li (0.2500, 0.2500, 0.0000)
Li (0.7500, 0.7500, 0.0000)
Pr (0.1644, 0.2296, 0.3940)
Pr (0.3356, 0.7296, 0.0652)
Pr (0.6644, 0.2704, 0.9348)
Pr (0.8356, 0.7704, 0.6060)
Be (0.2500, 0.7500, 0.5000)
Be (0.7500, 0.2500, 0.5000)
Pt (0.1069, 0.7162, 0.8231)
Pt (0.3931, 0.2162, 0.6093)
Pt (0.6069, 0.7838, 0.3907)
Pt (0.8931, 0.2838, 0.1769)

---

9.
The following is a PBE calculation of LiPr2Be3Pt4 after structural relaxation, from the Alexandria database.

- energy of formation from the pure elements (kJ per mole of atoms) = -79.16

Cell: 4.0690 4.0690 10.0603 Å, 90.00 90.00 90.00°
Element x y z (fractional)
Li (0.0000, 0.0000, 0.0000)
Pr (0.0000, 0.5000, 0.7480)
Pr (0.5000, 0.0000, 0.2520)
Be (0.0000, 0.5000, 0.3831)
Be (0.5000, 0.0000, 0.6169)
Be (0.5000, 0.5000, 0.0000)
Pt (0.0000, 0.0000, 0.5000)
Pt (0.0000, 0.5000, 0.1402)
Pt (0.5000, 0.0000, 0.8598)
Pt (0.5000, 0.5000, 0.5000)

---

10.
The following is a PBE calculation of LiPrScBe after structural relaxation, from the Alexandria database.

- energy of formation from the pure elements (kJ per mole of atoms) = 15.82

Cell: 6.9932 6.9932 6.9932 Å, 90.00 90.00 90.00°
Element x y z (fractional)
Li (0.0000, 0.0000, 0.0000)
Li (0.0000, 0.5000, 0.5000)
Li (0.5000, 0.0000, 0.5000)
Li (0.5000, 0.5000, 0.0000)
Pr (0.2500, 0.2500, 0.7500)
Pr (0.2500, 0.7500, 0.2500)
Pr (0.7500, 0.2500, 0.2500)
Pr (0.7500, 0.7500, 0.7500)
Sc (0.2500, 0.2500, 0.2500)
Sc (0.2500, 0.7500, 0.7500)
Sc (0.7500, 0.2500, 0.7500)
Sc (0.7500, 0.7500, 0.2500)
Be (0.0000, 0.0000, 0.5000)
Be (0.0000, 0.5000, 0.0000)
Be (0.5000, 0.0000, 0.0000)
Be (0.5000, 0.5000, 0.5000)

---

11.
The following is a PBE calculation of LiPrBeSi2 after structural relaxation, from the Alexandria database.

- energy relative to the elements, uncorrected (kJ/mol of atoms) = -40.2

Cell: 4.1157 4.1157 9.9210 Å, 90.00 90.00 90.00°
Element x y z (fractional)
Li (0.0000, 0.0000, 0.0000)
Li (0.5000, 0.5000, 0.5000)
Pr (0.0000, 0.5000, 0.2500)
Pr (0.5000, 0.0000, 0.7500)
Be (0.0000, 0.0000, 0.5000)
Be (0.5000, 0.5000, 0.0000)
Si (0.0000, 0.5000, 0.6296)
Si (0.0000, 0.5000, 0.8704)
Si (0.5000, 0.0000, 0.1296)
Si (0.5000, 0.0000, 0.3704)

---

12.
The following is a PBE calculation of LiTbPrBe after structural relaxation, from the Alexandria database.

- energy of formation from the pure elements (kJ per mole of atoms) = 15.89

Cell: 7.2152 7.2152 7.2152 Å, 90.00 90.00 90.00°
Element x y z (fractional)
Li (0.0000, 0.0000, 0.0000)
Li (0.0000, 0.5000, 0.5000)
Li (0.5000, 0.0000, 0.5000)
Li (0.5000, 0.5000, 0.0000)
Tb (0.2500, 0.2500, 0.2500)
Tb (0.2500, 0.7500, 0.7500)
Tb (0.7500, 0.2500, 0.7500)
Tb (0.7500, 0.7500, 0.2500)
Pr (0.2500, 0.2500, 0.7500)
Pr (0.2500, 0.7500, 0.2500)
Pr (0.7500, 0.2500, 0.2500)
Pr (0.7500, 0.7500, 0.7500)
Be (0.0000, 0.0000, 0.5000)
Be (0.0000, 0.5000, 0.0000)
Be (0.5000, 0.0000, 0.0000)
Be (0.5000, 0.5000, 0.5000)

---

13.
The following is a PBE calculation of LiPrTmBe after structural relaxation, from the Alexandria database.

- energy of formation from the pure elements (kJ per mole of atoms) = 15.22

Cell: 7.1521 7.1521 7.1521 Å, 90.00 90.00 90.00°
Element x y z (fractional)
Li (0.0000, 0.0000, 0.0000)
Li (0.0000, 0.5000, 0.5000)
Li (0.5000, 0.0000, 0.5000)
Li (0.5000, 0.5000, 0.0000)
Pr (0.2500, 0.2500, 0.2500)
Pr (0.2500, 0.7500, 0.7500)
Pr (0.7500, 0.2500, 0.7500)
Pr (0.7500, 0.7500, 0.2500)
Tm (0.2500, 0.2500, 0.7500)
Tm (0.2500, 0.7500, 0.2500)
Tm (0.7500, 0.2500, 0.2500)
Tm (0.7500, 0.7500, 0.7500)
Be (0.0000, 0.0000, 0.5000)
Be (0.0000, 0.5000, 0.0000)
Be (0.5000, 0.0000, 0.0000)
Be (0.5000, 0.5000, 0.5000)

---

Density of states at the Fermi level: 4.5, 1.7, 2.9, 5.9, 0.8, 1.3, 4.2, 4.7, 5.7, 4.9, 1.3, 5.6, 4.5 (states/eV/f.u.)